[1]
Material: Tb2MnPt9
Method: DFT, PBE-GGA
State: optimized geometry

a = 4.0770 Å, b = 4.0770 Å, c = 12.1438 Å
α = 90.00°, β = 90.00°, γ = 90.00°
Last column: nearest neighbours and their distance in Å.
Element x y z (fractional)
Tb1 0.0000 0.0000 0.6716  12 Pt 2.88-2.94
Pt1 0.0000 0.5000 0.8460  8 Pt 2.77-2.93, 2 Mn 2.77, 2 Tb 2.94
Pt2 0.5000 0.0000 0.8460  2 Mn 2.77, 8 Pt 2.77-2.93, 2 Tb 2.94
Pt3 0.5000 0.5000 0.0000  8 Pt 2.77, 4 Mn 2.88
Pt4 0.5000 0.0000 0.1540  2 Mn 2.77, 8 Pt 2.77-2.93, 2 Tb 2.94
Pt5 0.5000 0.0000 0.5000  8 Pt 2.88-2.93, 4 Tb 2.91
Pt6 0.5000 0.5000 0.6729  4 Tb 2.88, 8 Pt 2.93
Tb2 0.0000 0.0000 0.3284  12 Pt 2.88-2.94
Mn1 0.0000 0.0000 0.0000  12 Pt 2.77-2.88
Pt7 0.0000 0.5000 0.5000  8 Pt 2.88-2.93, 4 Tb 2.91
Pt8 0.5000 0.5000 0.3271  4 Tb 2.88, 8 Pt 2.93
Pt9 0.0000 0.5000 0.1540  8 Pt 2.77-2.93, 2 Mn 2.77, 2 Tb 2.94

Energy (eV per atom): -6.841
Mass density (g/cm³): 17.51
Calculated volume (Å³/cell): 201.85

[2]
Material: HfP2RuCl
Method: DFT, PBE-GGA
State: optimized geometry

a = 4.5608 Å, b = 4.5608 Å, c = 4.6815 Å
α = 90.00°, β = 90.00°, γ = 90.00°
Last column: nearest neighbours and their distance in Å.
Element x y z (fractional)
Ru1 0.0000 0.0000 0.0000  4 P 2.28, 2 Cl 2.34
Cl1 0.0000 0.0000 0.5000  2 Ru 2.34
P1 0.5000 0.0000 0.0000  2 Ru 2.28
P2 0.0000 0.5000 0.0000  2 Ru 2.28
Hf1 0.5000 0.5000 0.5000  4 Cl 3.22, 8 P 3.27

Energy (eV per atom): -5.953
Mass density (g/cm³): 6.43
Calculated volume (Å³/cell): 97.38
Uncorrected formation energy (meV/atom): 426